This record from Alexandria via LeMat-Bulk describes crystalline Ac2IrSe at its relaxed geometry. The functional is PBE.

Lattice parameters (Å, degrees): 3.7520 3.7520 7.8405 90.00 90.00 90.00
Last column: nearest neighbours and their distance in Å.
Sites, in units of the cell vectors:
Se1 0.5000 0.5000 0.5000  8 Ac 3.39, 4 Se 3.75
Ac1 0.0000 0.0000 0.7684  4 Ir 3.21, 4 Se 3.39
Ac2 0.0000 0.0000 0.2316  4 Ir 3.21, 4 Se 3.39
Ir1 0.5000 0.5000 0.0000  8 Ac 3.21

Calculated values
For the total energy, the calculation gives -6.205 eV per atom. As for the total magnetic moment: 0.0 Bohr magnetons per cell. As for the volume: 110 Å³/cell. The density of states at the Fermi level is 1.7 states/eV/cell.